# CaCeMgPd

A geometry-optimized CaCeMgPd structure (PBE-GGA, the Alexandria database).

Structure (CIF):
```
data_CaCeMgPd
_cell_length_a 5.228
_cell_length_b 5.228
_cell_length_c 5.228
_cell_angle_alpha 60.00
_cell_angle_beta 60.00
_cell_angle_gamma 60.00
_symmetry_space_group_name_H-M 'P 1'
_symmetry_Int_Tables_number 1
loop_
_symmetry_equiv_pos_as_xyz
'x,y,z'
loop_
_atom_site_label
_atom_site_type_symbol
_atom_site_fract_x
_atom_site_fract_y
_atom_site_fract_z
Pd1 Pd 0.000 0.000 0.000
Ce1 Ce 0.250 0.250 0.250
Ca1 Ca 0.750 0.750 0.750
Mg1 Mg 0.500 0.500 0.500
```

Values from the calculation:
DFT total energy (eV per cell): -15.69
ρ (g/cm³): 5.11
DFT formation energy (eV per atom): -0.243

# CaCeSmMg

A geometry-optimized CaCeSmMg structure (PBE-GGA, the Alexandria database).

Structure (CIF):
```
data_CaCeSmMg
_cell_length_a 5.656
_cell_length_b 5.656
_cell_length_c 5.656
_cell_angle_alpha 60.00
_cell_angle_beta 60.00
_cell_angle_gamma 60.00
_symmetry_space_group_name_H-M 'P 1'
_symmetry_Int_Tables_number 1
loop_
_symmetry_equiv_pos_as_xyz
'x,y,z'
loop_
_atom_site_label
_atom_site_type_symbol
_atom_site_fract_x
_atom_site_fract_y
_atom_site_fract_z
Ca1 Ca 0.500 0.500 0.500
Ce1 Ce 0.750 0.750 0.750
Sm1 Sm 0.250 0.250 0.250
Mg1 Mg 0.000 0.000 0.000
```

Values from the calculation:
DFT total energy (eV per cell): -13.63
ρ (g/cm³): 4.61
DFT formation energy (eV per atom): 0.154

# CaCeMgSn

A geometry-optimized CaCeMgSn structure (PBE-GGA, the Alexandria database).

Structure (CIF):
```
data_CaCeMgSn
_cell_length_a 5.438
_cell_length_b 5.438
_cell_length_c 5.438
_cell_angle_alpha 60.00
_cell_angle_beta 60.00
_cell_angle_gamma 60.00
_symmetry_space_group_name_H-M 'P 1'
_symmetry_Int_Tables_number 1
loop_
_symmetry_equiv_pos_as_xyz
'x,y,z'
loop_
_atom_site_label
_atom_site_type_symbol
_atom_site_fract_x
_atom_site_fract_y
_atom_site_fract_z
Mg1 Mg 0.750 0.750 0.750
Ca1 Ca 0.500 0.500 0.500
Sn1 Sn 0.250 0.250 0.250
Ce1 Ce 0.000 0.000 0.000
```

Values from the calculation:
DFT total energy (eV per cell): -14.86
ρ (g/cm³): 4.72
DFT formation energy (eV per atom): -0.332

# Ca2CeMgSn2

A geometry-optimized Ca2CeMgSn2 structure (PBE-GGA, the Alexandria database).

Structure (CIF):
```
data_Ca2CeMgSn2
_cell_length_a 4.866
_cell_length_b 7.731
_cell_length_c 9.437
_cell_angle_alpha 90.00
_cell_angle_beta 90.00
_cell_angle_gamma 90.00
_symmetry_space_group_name_H-M 'P 1'
_symmetry_Int_Tables_number 1
loop_
_symmetry_equiv_pos_as_xyz
'x,y,z'
loop_
_atom_site_label
_atom_site_type_symbol
_atom_site_fract_x
_atom_site_fract_y
_atom_site_fract_z
Sn1 Sn 0.500 0.767 0.623
Sn2 Sn 0.000 0.760 0.156
Sn3 Sn 0.000 0.260 0.844
Sn4 Sn 0.500 0.267 0.377
Ca1 Ca 0.500 0.528 0.923
Ca2 Ca 0.000 0.351 0.176
Ca3 Ca 0.000 0.851 0.824
Ca4 Ca 0.500 0.028 0.077
Ce1 Ce 0.000 0.983 0.448
Ce2 Ce 0.000 0.483 0.552
Mg1 Mg 0.500 0.657 0.314
Mg2 Mg 0.500 0.157 0.686
```

Values from the calculation:
DFT total energy (eV per cell): -45.41
ρ (g/cm³): 4.51
DFT formation energy (eV per atom): -0.528

# CaCe2Mg2Sn2

A geometry-optimized CaCe2Mg2Sn2 structure (PBE-GGA, the Alexandria database).

Structure (CIF):
```
data_CaCe2Mg2Sn2
_cell_length_a 4.890
_cell_length_b 4.890
_cell_length_c 9.661
_cell_angle_alpha 75.34
_cell_angle_beta 75.34
_cell_angle_gamma 60.00
_symmetry_space_group_name_H-M 'P 1'
_symmetry_Int_Tables_number 1
loop_
_symmetry_equiv_pos_as_xyz
'x,y,z'
loop_
_atom_site_label
_atom_site_type_symbol
_atom_site_fract_x
_atom_site_fract_y
_atom_site_fract_z
Mg1 Mg 0.415 0.415 0.756
Mg2 Mg 0.585 0.585 0.244
Ca1 Ca 0.000 0.000 0.000
Ce1 Ce 0.857 0.857 0.429
Ce2 Ce 0.143 0.143 0.571
Sn1 Sn 0.265 0.265 0.205
Sn2 Sn 0.735 0.735 0.795
```

Values from the calculation:
DFT total energy (eV per cell): -27.05
ρ (g/cm³): 5.26
DFT formation energy (eV per atom): -0.284

# CaTbCeMg

A geometry-optimized CaTbCeMg structure (PBE-GGA, the Alexandria database).

Structure (CIF):
```
data_CaTbCeMg
_cell_length_a 5.621
_cell_length_b 5.621
_cell_length_c 5.621
_cell_angle_alpha 60.00
_cell_angle_beta 60.00
_cell_angle_gamma 60.00
_symmetry_space_group_name_H-M 'P 1'
_symmetry_Int_Tables_number 1
loop_
_symmetry_equiv_pos_as_xyz
'x,y,z'
loop_
_atom_site_label
_atom_site_type_symbol
_atom_site_fract_x
_atom_site_fract_y
_atom_site_fract_z
Mg1 Mg 0.000 0.000 0.000
Ca1 Ca 0.500 0.500 0.500
Ce1 Ce 0.750 0.750 0.750
Tb1 Tb 0.250 0.250 0.250
```

Values from the calculation:
DFT total energy (eV per cell): -13.50
ρ (g/cm³): 4.81
DFT formation energy (eV per atom): 0.165

# CaCeYMg

A geometry-optimized CaCeYMg structure (PBE-GGA, the Alexandria database).

Structure (CIF):
```
data_CaCeYMg
_cell_length_a 5.625
_cell_length_b 5.625
_cell_length_c 5.625
_cell_angle_alpha 60.00
_cell_angle_beta 60.00
_cell_angle_gamma 60.00
_symmetry_space_group_name_H-M 'P 1'
_symmetry_Int_Tables_number 1
loop_
_symmetry_equiv_pos_as_xyz
'x,y,z'
loop_
_atom_site_label
_atom_site_type_symbol
_atom_site_fract_x
_atom_site_fract_y
_atom_site_fract_z
Ca1 Ca 0.250 0.250 0.250
Ce1 Ce 0.500 0.500 0.500
Y1 Y 0.000 0.000 0.000
Mg1 Mg 0.750 0.750 0.750
```

Values from the calculation:
DFT total energy (eV per cell): -15.37
ρ (g/cm³): 3.87
DFT formation energy (eV per atom): 0.157

# CaCe2Mn

A geometry-optimized CaCe2Mn structure (PBE-GGA, the Alexandria database).

Structure (CIF):
```
data_CaCe2Mn
_cell_length_a 3.731
_cell_length_b 3.731
_cell_length_c 10.318
_cell_angle_alpha 79.58
_cell_angle_beta 79.58
_cell_angle_gamma 60.00
_symmetry_space_group_name_H-M 'P 1'
_symmetry_Int_Tables_number 1
loop_
_symmetry_equiv_pos_as_xyz
'x,y,z'
loop_
_atom_site_label
_atom_site_type_symbol
_atom_site_fract_x
_atom_site_fract_y
_atom_site_fract_z
Ce1 Ce 0.882 0.882 0.353
Ce2 Ce 0.118 0.118 0.647
Mn1 Mn 0.500 0.500 0.500
Ca1 Ca 0.000 0.000 0.000
```

Values from the calculation:
DFT total energy (eV per cell): -21.72
ρ (g/cm³): 5.12
DFT formation energy (eV per atom): 0.330

- The highest DFT formation energy belongs to which entry?
  CaCe2Mn

- The lowest DFT total energy belongs to which entry?
  Ca2CeMgSn2

- Which value of ρ does entry 5 give?
  5.26 g/cm³